Compound: SnRh
Source: Alexandria via LeMat-Bulk
Functional: GGA-PBE
Structure: relaxed

## Properties
Energy of formation in meV per atom: -266
Uncorrected energy in eV per atom: -5.94

Cell: 8.862 8.862 4.159 Å, 90.00 90.00 90.00°
Space group I4/m (No. 87)
One atom of each set of equivalent atoms:
Sn (0.027, 0.739, 0.000) (multiplicity 8)
Rh (0.143, 0.193, 0.500) (multiplicity 8)

***

Compound: Sn3Rh
Source: Alexandria via LeMat-Bulk
Functional: GGA-PBE
Structure: relaxed

## Properties
Energy of formation in meV per atom: 101
Uncorrected energy in eV per atom: -4.74

Cell: 7.088 7.088 7.088 Å, 90.00 90.00 90.00°
Space group Fm-3m (No. 225)
One atom of each set of equivalent atoms:
Sn (0.000, 0.000, 0.000) (multiplicity 4)
Sn (0.250, 0.250, 0.250) (multiplicity 8)
Rh (0.000, 0.000, 0.500) (multiplicity 4)

***

Compound: SnRh
Source: Alexandria via LeMat-Bulk
Functional: GGA-PBE
Structure: relaxed

## Properties
Energy of formation in meV per atom: -362
Uncorrected energy in eV per atom: -6.04

Cell: 3.8786 3.8786 3.0402 Å, 90.00 90.00 120.00°
Space group P-6m2 (No. 187)
One atom of each set of equivalent atoms:
Sn (0.0000, 0.0000, 0.0000) (multiplicity 1)
Rh (0.3333, 0.6667, 0.5000) (multiplicity 1)

***

Compound: SnRh
Source: Alexandria via LeMat-Bulk
Functional: GGA-PBE
Structure: relaxed

## Properties
Energy of formation in meV per atom: -418
Uncorrected energy in eV per atom: -6.10

Cell: 9.692 3.388 4.448 Å, 90.00 103.12 90.00°
Space group C2/m (No. 12)
One atom of each set of equivalent atoms:
Sn (0.121, 0.000, 0.304) (multiplicity 4)
Rh (0.113, 0.500, 0.798) (multiplicity 4)

***

Compound: SnRh
Source: Alexandria via LeMat-Bulk
Functional: GGA-PBE
Structure: relaxed

## Properties
Energy of formation in meV per atom: 57
Uncorrected energy in eV per atom: -5.62

Cell: 7.938 7.938 7.938 Å, 90.00 90.00 90.00°
Space group I-43m (No. 217)
One atom of each set of equivalent atoms:
Sn (0.194, 0.194, 0.806) (multiplicity 8)
Rh (0.123, 0.123, 0.123) (multiplicity 8)

***

Compound: SnRh
Source: Alexandria via LeMat-Bulk
Functional: GGA-PBE
Structure: relaxed

## Properties
Energy of formation in meV per atom: -161
Uncorrected energy in eV per atom: -5.84

Cell: 9.154 9.154 4.182 Å, 90.00 90.00 90.00°
Space group I4/m (No. 87)
One atom of each set of equivalent atoms:
Sn (0.122, 0.215, 0.000) (multiplicity 8)
Rh (0.104, 0.607, 0.000) (multiplicity 8)

***

Compound: Sr2Sn2Rh
Source: Alexandria via LeMat-Bulk
Functional: GGA-PBE
Structure: relaxed

## Properties
Energy of formation in meV per atom: -487
Uncorrected energy in eV per atom: -4.23

Cell: 7.356 7.356 5.172 Å, 90.00 90.00 90.00°
Space group P4/mbm (No. 127)
One atom of each set of equivalent atoms:
Sr (0.172, 0.328, 0.000) (multiplicity 4)
Sn (0.143, 0.643, 0.500) (multiplicity 4)
Rh (0.000, 0.000, 0.500) (multiplicity 2)

***

Compound: Sr2Sn12Rh7
Source: Alexandria via LeMat-Bulk
Functional: GGA-PBE
Structure: relaxed

## Properties
Energy of formation in meV per atom: -452
Uncorrected energy in eV per atom: -5.35

Cell: 11.1680 11.1680 4.2278 Å, 90.00 90.00 120.00°
Space group P-6 (No. 174)
One atom of each set of equivalent atoms:
Sr (0.0000, 0.0000, 0.0000) (multiplicity 1)
Sr (0.3333, 0.6667, 0.5000) (multiplicity 1)
Sn (0.0429, 0.2691, 0.5000) (multiplicity 3)
Sn (0.1238, 0.7148, 0.0000) (multiplicity 3)
Sn (0.3813, 0.1863, 0.0000) (multiplicity 3)
Sn (0.5387, 0.4285, 0.5000) (multiplicity 3)
Rh (0.0501, 0.4359, 0.0000) (multiplicity 3)
Rh (0.2633, 0.2344, 0.5000) (multiplicity 3)
Rh (0.6667, 0.3333, 0.0000) (multiplicity 1)